a.
Nd3Sm | PBEsol | optimized geometry

abc: 7.195 7.195 5.845
angles: 90.00 90.00 120.00
Positions (direct):
1 Nd 0.167 0.333 0.250
2 Nd 0.167 0.833 0.250
3 Nd 0.333 0.167 0.750
4 Nd 0.667 0.833 0.250
5 Nd 0.833 0.167 0.750
6 Nd 0.833 0.667 0.750
7 Sm 0.333 0.667 0.750
8 Sm 0.667 0.333 0.250

Output
Space-group type   P6_3/mmc (194)

b.
Nd3Sm | PBEsol | optimized geometry

abc: 5.070 5.070 5.070
angles: 90.00 90.00 90.00
Positions (direct):
1 Nd 0.000 0.000 0.500
2 Nd 0.000 0.500 0.000
3 Nd 0.500 0.000 0.000
4 Sm 0.500 0.500 0.500

Output
Space-group type   Pm-3m (221)

Most stable structure: b

a.
Tb3Nd | PBEsol | optimized geometry

abc: 6.086 6.086 6.086
angles: 131.80 131.80 70.54
Positions (direct):
1 Tb 0.000 0.000 0.000
2 Tb 0.250 0.750 0.500
3 Tb 0.750 0.250 0.500
4 Nd 0.500 0.500 0.000

Output
Space-group type   I4/mmm (139)

b.
Tb3Nd | PBEsol | optimized geometry

abc: 7.124 7.124 5.649
angles: 90.00 90.00 120.00
Positions (direct):
1 Tb 0.166 0.333 0.250
2 Tb 0.166 0.834 0.250
3 Tb 0.333 0.166 0.750
4 Tb 0.667 0.834 0.250
5 Tb 0.834 0.166 0.750
6 Tb 0.834 0.667 0.750
7 Nd 0.333 0.667 0.750
8 Nd 0.667 0.333 0.250

Output
Space-group type   P6_3/mmc (194)

Most stable structure: a

a.
Ni2PO5 | PBEsol | optimized geometry

abc: 6.998 6.203 7.390
angles: 90.00 90.00 90.00
Positions (direct):
1 Ni 0.000 0.000 0.000
2 Ni 0.000 0.500 0.000
3 Ni 0.144 0.250 0.275
4 Ni 0.356 0.750 0.775
5 Ni 0.500 0.000 0.500
6 Ni 0.500 0.500 0.500
7 Ni 0.644 0.250 0.225
8 Ni 0.856 0.750 0.725
9 P 0.119 0.750 0.360
10 P 0.381 0.250 0.860
11 P 0.619 0.750 0.140
12 P 0.881 0.250 0.640
13 O 0.057 0.250 0.524
14 O 0.101 0.750 0.862
15 O 0.132 0.554 0.230
16 O 0.132 0.946 0.230
17 O 0.194 0.250 0.977
18 O 0.306 0.750 0.477
19 O 0.368 0.054 0.730
20 O 0.368 0.446 0.730
21 O 0.399 0.250 0.362
22 O 0.443 0.750 0.024
23 O 0.557 0.250 0.976
24 O 0.601 0.750 0.638
25 O 0.632 0.554 0.270
26 O 0.632 0.946 0.270
27 O 0.694 0.250 0.523
28 O 0.806 0.750 0.023
29 O 0.868 0.054 0.770
30 O 0.868 0.446 0.770
31 O 0.899 0.250 0.138
32 O 0.943 0.750 0.476

Output
Space-group type   Pnma (62)

b.
Ni2PO5 | PBEsol | optimized geometry

abc: 6.926 6.926 6.926
angles: 135.25 135.25 65.14
Positions (direct):
1 Ni 0.000 0.000 0.000
2 Ni 0.000 0.000 0.500
3 Ni 0.000 0.500 0.000
4 Ni 0.500 0.000 0.500
5 P 0.375 0.625 0.750
6 P 0.625 0.375 0.250
7 O 0.125 0.875 0.250
8 O 0.197 0.695 0.503
9 O 0.305 0.308 0.503
10 O 0.305 0.803 0.997
11 O 0.308 0.305 0.003
12 O 0.692 0.695 0.997
13 O 0.695 0.197 0.003
14 O 0.695 0.692 0.497
15 O 0.803 0.305 0.497
16 O 0.875 0.125 0.750

Output
Space-group type   I4_1/amd (141)

Most stable structure: b

a.
NiP3O9 | PBEsol | optimized geometry

abc: 11.347 11.347 9.148
angles: 109.18 109.18 111.43
Positions (direct):
1 Ni 0.079 0.921 0.500
2 Ni 0.221 0.736 0.965
3 Ni 0.412 0.591 0.507
4 Ni 0.591 0.412 0.007
5 Ni 0.736 0.221 0.465
6 Ni 0.921 0.079 0.000
7 P 0.148 0.550 0.145
8 P 0.212 0.490 0.656
9 P 0.256 0.287 0.780
10 P 0.259 0.990 0.307
11 P 0.287 0.256 0.280
12 P 0.312 0.928 0.802
13 P 0.490 0.212 0.156
14 P 0.550 0.148 0.645
15 P 0.563 0.927 0.750
16 P 0.574 0.871 0.212
17 P 0.614 0.671 0.346
18 P 0.671 0.614 0.846
19 P 0.841 0.899 0.185
20 P 0.871 0.574 0.712
21 P 0.899 0.841 0.685
22 P 0.927 0.563 0.250
23 P 0.928 0.312 0.302
24 P 0.990 0.259 0.807
25 O 0.011 0.654 0.888
26 O 0.018 0.404 0.958
27 O 0.034 0.934 0.684
28 O 0.056 0.607 0.208
29 O 0.074 0.355 0.464
30 O 0.126 0.907 0.317
31 O 0.144 0.186 0.116
32 O 0.153 0.297 0.861
33 O 0.158 0.546 0.776
34 O 0.186 0.144 0.616
35 O 0.208 0.796 0.798
36 O 0.228 0.513 0.270
37 O 0.246 0.918 0.129
38 O 0.247 0.668 0.124
39 O 0.249 0.926 0.627
40 O 0.286 0.410 0.724
41 O 0.297 0.153 0.361
42 O 0.315 0.605 0.636
43 O 0.346 0.396 0.449
44 O 0.355 0.074 0.964
45 O 0.396 0.346 0.949
46 O 0.404 0.018 0.458
47 O 0.410 0.286 0.224
48 O 0.435 0.824 0.054
49 O 0.466 0.946 0.840
50 O 0.470 0.787 0.567
51 O 0.509 0.573 0.381
52 O 0.513 0.228 0.770
53 O 0.540 0.744 0.260
54 O 0.546 0.158 0.276
55 O 0.573 0.509 0.881
56 O 0.596 0.663 0.734
57 O 0.605 0.315 0.136
58 O 0.607 0.056 0.708
59 O 0.654 0.011 0.388
60 O 0.663 0.596 0.234
61 O 0.668 0.247 0.624
62 O 0.679 0.863 0.132
63 O 0.700 0.959 0.893
64 O 0.744 0.540 0.760
65 O 0.755 0.812 0.534
66 O 0.787 0.470 0.067
67 O 0.796 0.208 0.298
68 O 0.812 0.755 0.034
69 O 0.824 0.435 0.554
70 O 0.863 0.679 0.632
71 O 0.907 0.126 0.817
72 O 0.907 0.912 0.367
73 O 0.912 0.907 0.867
74 O 0.918 0.246 0.629
75 O 0.926 0.249 0.127
76 O 0.934 0.034 0.184
77 O 0.946 0.466 0.340
78 O 0.959 0.700 0.393

Output
Space-group type   Cc (9)

b.
NiP3O9 | PBEsol | optimized geometry

abc: 6.308 10.424 9.383
angles: 90.00 90.00 90.00
Positions (direct):
1 Ni 0.000 0.000 0.000
2 Ni 0.000 0.500 0.500
3 Ni 0.500 0.000 0.500
4 Ni 0.500 0.500 0.000
5 P 0.137 0.131 0.287
6 P 0.137 0.369 0.787
7 P 0.250 0.750 0.072
8 P 0.250 0.750 0.572
9 P 0.363 0.131 0.787
10 P 0.363 0.369 0.287
11 P 0.637 0.631 0.713
12 P 0.637 0.869 0.213
13 P 0.750 0.250 0.428
14 P 0.750 0.250 0.928
15 P 0.863 0.631 0.213
16 P 0.863 0.869 0.713
17 O 0.092 0.690 0.183
18 O 0.092 0.810 0.683
19 O 0.114 0.021 0.184
20 O 0.114 0.479 0.684
21 O 0.149 0.652 0.476
22 O 0.149 0.848 0.976
23 O 0.244 0.099 0.424
24 O 0.244 0.401 0.924
25 O 0.250 0.250 0.207
26 O 0.250 0.250 0.707
27 O 0.256 0.099 0.924
28 O 0.256 0.401 0.424
29 O 0.351 0.652 0.976
30 O 0.351 0.848 0.476
31 O 0.386 0.021 0.684
32 O 0.386 0.479 0.184
33 O 0.408 0.690 0.683
34 O 0.408 0.810 0.183
35 O 0.592 0.190 0.817
36 O 0.592 0.310 0.317
37 O 0.614 0.521 0.816
38 O 0.614 0.979 0.316
39 O 0.649 0.152 0.524
40 O 0.649 0.348 0.024
41 O 0.744 0.599 0.576
42 O 0.744 0.901 0.076
43 O 0.750 0.750 0.293
44 O 0.750 0.750 0.793
45 O 0.756 0.599 0.076
46 O 0.756 0.901 0.576
47 O 0.851 0.152 0.024
48 O 0.851 0.348 0.524
49 O 0.886 0.521 0.316
50 O 0.886 0.979 0.816
51 O 0.908 0.190 0.317
52 O 0.908 0.310 0.817

Output
Space-group type   Pccn (56)

c.
NiP3O9 | PBEsol | optimized geometry

abc: 6.100 6.100 6.100
angles: 105.58 105.58 105.58
Positions (direct):
1 Ni 0.000 0.000 0.000
2 P 0.041 0.902 0.484
3 P 0.484 0.041 0.902
4 P 0.902 0.484 0.041
5 O 0.067 0.067 0.342
6 O 0.067 0.342 0.067
7 O 0.306 0.901 0.622
8 O 0.342 0.067 0.067
9 O 0.622 0.306 0.901
10 O 0.662 0.918 0.962
11 O 0.901 0.622 0.306
12 O 0.918 0.962 0.662
13 O 0.962 0.662 0.918

Output
Space-group type   R3 (146)

Most stable structure: c

a.
ZnNiP2O7 | PBEsol | optimized geometry

abc: 6.939 8.275 8.966
angles: 90.00 113.80 90.00
Positions (direct):
1 Zn 0.196 0.055 0.319
2 Zn 0.196 0.445 0.819
3 Zn 0.804 0.555 0.181
4 Zn 0.804 0.945 0.681
5 Ni 0.273 0.076 0.891
6 Ni 0.273 0.424 0.391
7 Ni 0.727 0.576 0.609
8 Ni 0.727 0.924 0.109
9 P 0.027 0.728 0.967
10 P 0.027 0.772 0.467
11 P 0.442 0.730 0.261
12 P 0.442 0.770 0.761
13 P 0.558 0.230 0.239
14 P 0.558 0.270 0.739
15 P 0.973 0.228 0.533
16 P 0.973 0.272 0.033
17 O 0.025 0.090 0.658
18 O 0.025 0.410 0.158
19 O 0.056 0.608 0.400
20 O 0.056 0.892 0.900
21 O 0.131 0.236 0.453
22 O 0.131 0.264 0.953
23 O 0.246 0.670 0.102
24 O 0.246 0.830 0.602
25 O 0.379 0.240 0.299
26 O 0.379 0.260 0.799
27 O 0.394 0.612 0.823
28 O 0.394 0.888 0.323
29 O 0.481 0.589 0.382
30 O 0.481 0.911 0.882
31 O 0.519 0.089 0.118
32 O 0.519 0.411 0.618
33 O 0.606 0.112 0.677
34 O 0.606 0.388 0.177
35 O 0.621 0.740 0.201
36 O 0.621 0.760 0.701
37 O 0.754 0.170 0.398
38 O 0.754 0.330 0.898
39 O 0.869 0.736 0.047
40 O 0.869 0.764 0.547
41 O 0.944 0.108 0.100
42 O 0.944 0.392 0.600
43 O 0.975 0.590 0.842
44 O 0.975 0.910 0.342

Output
Space-group type   P2_1/c (14)

b.
ZnNiP2O7 | PBEsol | optimized geometry

abc: 5.510 6.293 7.287
angles: 82.60 87.62 71.81
Positions (direct):
1 Zn 0.178 0.345 0.341
2 Zn 0.822 0.655 0.659
3 Ni 0.239 0.840 0.800
4 Ni 0.761 0.160 0.200
5 P 0.267 0.804 0.391
6 P 0.311 0.314 0.905
7 P 0.689 0.686 0.095
8 P 0.733 0.196 0.609
9 O 0.105 0.048 0.327
10 O 0.107 0.644 0.429
11 O 0.141 0.553 0.833
12 O 0.195 0.130 0.885
13 O 0.408 0.308 0.101
14 O 0.435 0.720 0.218
15 O 0.438 0.792 0.556
16 O 0.562 0.208 0.444
17 O 0.565 0.280 0.782
18 O 0.592 0.692 0.899
19 O 0.805 0.870 0.115
20 O 0.859 0.447 0.167
21 O 0.893 0.356 0.571
22 O 0.895 0.952 0.673

Output
Space-group type   P-1 (2)

Most stable structure: a

a.
NiTeO4 | PBEsol | optimized geometry

abc: 5.537 4.606 5.601
angles: 90.00 113.88 90.00
Positions (direct):
1 Ni 0.000 0.000 0.000
2 Ni 0.000 0.500 0.500
3 Te 0.500 0.000 0.500
4 Te 0.500 0.500 0.000
5 O 0.171 0.201 0.349
6 O 0.171 0.299 0.849
7 O 0.339 0.720 0.667
8 O 0.339 0.780 0.167
9 O 0.661 0.220 0.833
10 O 0.661 0.280 0.333
11 O 0.829 0.701 0.151
12 O 0.829 0.799 0.651

Output
Space-group type   P2_1/c (14)

b.
NiTeO4 | PBEsol | optimized geometry

abc: 4.862 3.079 5.230
angles: 90.00 109.47 90.00
Positions (direct):
1 Ni 0.000 0.000 0.000
2 Te 0.000 0.500 0.500
3 O 0.202 0.500 0.243
4 O 0.229 0.000 0.726
5 O 0.771 0.000 0.274
6 O 0.798 0.500 0.757

Output
Space-group type   P2/m (10)

Most stable structure: a